Entry 1:
HfHPb2, optimized geometry, DFT GGA-PBE; space-group type = I-42d (122)
1.0
6.939 0.000 0.000
0.000 6.939 0.000
3.470 3.470 3.425
Pb H Hf
4 2 2
Direct
0.539 0.125 0.250 Pb
0.211 0.625 0.250 Pb
0.375 0.461 0.750 Pb
0.875 0.789 0.750 Pb
0.500 0.500 0.000 H
0.250 0.750 0.500 H
0.000 0.000 0.000 Hf
0.750 0.250 0.500 Hf


Entry 2:
K2Na2Rh, optimized geometry, DFT GGA-PBE; energy of formation from the pure elements = 0.846 eV/atom; space-group type = I4/mmm (139)
1.0
4.792 0.000 0.000
0.000 4.792 0.000
2.396 2.396 7.723
Na K Rh
2 2 1
Direct
0.420 0.420 0.160 Na
0.580 0.580 0.840 Na
0.750 0.250 0.500 K
0.250 0.750 0.500 K
0.000 0.000 0.000 Rh


Entry 3:
PuCd2Sb, optimized geometry, DFT GGA-PBE; formation energy from raw total energies = 1.03 eV/f.u.; space-group type = R-3m (166)
1.0
3.254 0.000 0.000
1.627 2.818 0.000
1.627 0.939 11.836
Sb Cd Pu
1 2 1
Direct
0.500 0.500 0.500 Sb
0.089 0.089 0.733 Cd
0.911 0.911 0.267 Cd
0.000 0.000 0.000 Pu


Entry 4:
NaMgF3, optimized geometry, DFT GGA-PBE; formation energy from raw total energies = -16.24 eV/f.u.; space-group type = Pnma (62)
1.0
5.426 0.000 0.000
0.000 5.569 0.000
0.000 0.000 7.758
Na Mg F
4 4 12
Direct
0.012 0.954 0.750 Na
0.512 0.546 0.250 Na
0.488 0.454 0.750 Na
0.988 0.046 0.250 Na
0.000 0.500 0.500 Mg
0.500 0.000 0.500 Mg
0.500 0.000 0.000 Mg
0.000 0.500 0.000 Mg
0.704 0.294 0.452 F
0.204 0.206 0.548 F
0.796 0.794 0.048 F
0.296 0.706 0.952 F
0.296 0.706 0.548 F
0.796 0.794 0.452 F
0.204 0.206 0.952 F
0.704 0.294 0.048 F
0.091 0.471 0.250 F
0.591 0.029 0.750 F
0.409 0.971 0.250 F
0.909 0.529 0.750 F


Entry 5:
ScHg2Cl, optimized geometry, DFT GGA-PBE; formation energy from raw total energies = -2.59 eV/f.u.; space-group type = Pm (6)
1.0
3.594 0.000 0.000
0.000 4.061 0.007
0.000 1.988 7.646
Cl Hg Sc
1 2 1
Direct
0.500 0.595 0.691 Cl
0.000 0.904 0.062 Hg
0.500 0.290 0.293 Hg
0.000 0.711 0.455 Sc


Entry 6:
Y2MnW, optimized geometry, DFT GGA-PBE; energy of formation from the pure elements = 0.521 eV/atom; space-group type = R3m (160)
1.0
9.576 0.025 0.015
8.987 3.307 0.015
8.987 1.613 2.887
Mn W Y
1 1 2
Direct
0.486 0.486 0.486 Mn
0.769 0.769 0.769 W
0.014 0.014 0.014 Y
0.231 0.231 0.231 Y


Entry 7:
Zr3NbSi, optimized geometry, DFT GGA-PBE; formation energy from raw total energies = 5.09 eV/f.u.; space-group type = Pm-3m (221)
1.0
-3.476 3.346 1.418
-3.422 -2.354 -2.835
-1.223 -2.924 3.904
Nb Si Zr
1 1 3
Direct
0.000 0.000 0.000 Nb
0.500 0.500 0.500 Si
0.000 0.500 0.000 Zr
0.000 0.000 0.500 Zr
0.500 0.000 0.000 Zr


Entry 8:
Co2Si2Pd, optimized geometry, DFT GGA-PBE; formation energy from raw total energies = -0.95 eV/f.u.; space-group type = I4/mmm (139)
1.0
-3.178 0.350 -1.485
-0.250 -3.505 -0.293
-3.925 -1.810 3.786
Si Co Pd
2 2 1
Direct
0.750 0.250 0.500 Si
0.250 0.750 0.500 Si
0.388 0.388 0.225 Co
0.612 0.612 0.775 Co
0.000 0.000 0.000 Pd


Entry 9:
CaIr2Cl, optimized geometry, DFT GGA-PBE; formation energy from raw total energies = 2.31 eV/f.u.; space-group type = P4/mmm (123)
1.0
-0.337 1.605 2.451
-2.671 0.845 -0.921
-3.279 -6.334 3.696
Ca Ir Cl
1 2 1
Direct
0.500 0.500 0.250 Ca
0.000 0.000 0.973 Ir
0.000 0.000 0.527 Ir
0.500 0.500 0.750 Cl


Entry 10:
ReTcNiAu2, optimized geometry, DFT GGA-PBE; energy of formation from the pure elements = 1.580 eV/atom; space-group type = P4/mmm (123)
1.0
-0.848 -3.292 -3.088
4.247 -0.948 -0.155
-0.555 -3.042 3.396
Re Au Tc Ni
1 2 1 1
Direct
0.000 0.500 0.000 Re
0.000 0.000 0.500 Au
0.500 0.000 0.000 Au
0.500 0.500 0.500 Tc
0.000 0.000 0.000 Ni


Entry 11:
CrReIr2, optimized geometry, DFT GGA-PBE; energy of formation from the pure elements = 0.450 eV/atom; space-group type = Fm-3m (225)
1.0
0.000 3.067 3.067
3.067 0.000 3.067
3.067 3.067 0.000
Re Ir Cr
1 2 1
Direct
0.500 0.500 0.500 Re
0.250 0.250 0.250 Ir
0.750 0.750 0.750 Ir
0.000 0.000 0.000 Cr


Entry 12:
K3YRe, optimized geometry, DFT GGA-PBE; energy of formation from the pure elements = 2.216 eV/atom; space-group type = Pm-3m (221)
1.0
7.173 0.000 0.000
0.000 7.173 0.000
0.000 0.000 7.173
Y Re K
1 1 3
Direct
0.000 0.000 0.000 Y
0.500 0.500 0.500 Re
0.000 0.500 0.000 K
0.000 0.000 0.500 K
0.500 0.000 0.000 K


no.,size of the total moment (μB/cell),raw total energy (eV/atom)
1,0.00,-4.78
2,0.00,-1.59
3,6.09,-4.81
4,0.00,-4.95
5,0.00,-2.84
6,0.58,-8.24
7,0.00,-7.21
8,0.38,-6.24
9,0.00,-4.82
10,0.69,-5.45
11,0.00,-9.50
12,8.05,-2.22